[1]
# RbAlIn3 | Alexandria | PBE-GGA | relaxed
# - uncorrected energy (eV/atom) = -1.41
# - formation energy from the elements (eV/atom) = 1.18
# - volume (Å³/atom) = 49.51
data_RbAlIn3
_symmetry_space_group_name_H-M 'P m -3 m'
_symmetry_Int_Tables_number 221
_symmetry_space_group_name_Hall '-P 4 2 3'
_cell_length_a 6.279
_cell_length_b 6.279
_cell_length_c 6.279
_cell_angle_alpha 90.00
_cell_angle_beta 90.00
_cell_angle_gamma 90.00
loop_
_atom_site_label
_atom_site_fract_x
_atom_site_fract_y
_atom_site_fract_z
Rb1 0.000 0.000 0.000
Al1 0.500 0.500 0.500
In1 0.000 0.000 0.500

***

[2]
# Rb2AlIn | Alexandria | PBE-GGA | relaxed
# - uncorrected energy (eV/atom) = -1.70
# - formation energy from the elements (eV/atom) = 0.41
# - volume (Å³/atom) = 41.74
data_Rb2AlIn
_symmetry_space_group_name_H-M 'F m -3 m'
_symmetry_Int_Tables_number 225
_symmetry_space_group_name_Hall '-F 4 2 3'
_cell_length_a 8.741
_cell_length_b 8.741
_cell_length_c 8.741
_cell_angle_alpha 90.00
_cell_angle_beta 90.00
_cell_angle_gamma 90.00
loop_
_atom_site_label
_atom_site_fract_x
_atom_site_fract_y
_atom_site_fract_z
Rb1 0.250 0.250 0.250
Al1 0.000 0.000 0.000
In1 0.000 0.000 0.500

***

[3]
# Rb2AlIn | Alexandria | PBE-GGA | relaxed
# - uncorrected energy (eV/atom) = -1.86
# - formation energy from the elements (eV/atom) = 0.24
# - volume (Å³/atom) = 63.00
data_Rb2AlIn
_symmetry_space_group_name_H-M 'I -4 2 d'
_symmetry_Int_Tables_number 122
_symmetry_space_group_name_Hall 'I -4 2bw'
_cell_length_a 13.877
_cell_length_b 13.877
_cell_length_c 5.234
_cell_angle_alpha 90.00
_cell_angle_beta 90.00
_cell_angle_gamma 90.00
loop_
_atom_site_label
_atom_site_fract_x
_atom_site_fract_y
_atom_site_fract_z
Rb1 0.059 0.250 0.125
Al1 0.000 0.000 0.000
In1 0.000 0.000 0.500

***

[4]
# Rb2Al2In | Alexandria | PBE-GGA | relaxed
# - uncorrected energy (eV/atom) = -1.95
# - formation energy from the elements (eV/atom) = 0.49
# - volume (Å³/atom) = 38.54
data_Rb2Al2In
_symmetry_space_group_name_H-M 'P 4/m b m'
_symmetry_Int_Tables_number 127
_symmetry_space_group_name_Hall '-P 4 2ab'
_cell_length_a 10.870
_cell_length_b 10.870
_cell_length_c 3.262
_cell_angle_alpha 90.00
_cell_angle_beta 90.00
_cell_angle_gamma 90.00
loop_
_atom_site_label
_atom_site_fract_x
_atom_site_fract_y
_atom_site_fract_z
Rb1 0.203 0.297 0.000
Al1 0.085 0.585 0.500
In1 0.000 0.000 0.000

***

[5]
# RbAl3In | Alexandria | PBE-GGA | relaxed
# - uncorrected energy (eV/atom) = -2.36
# - formation energy from the elements (eV/atom) = 0.63
# - volume (Å³/atom) = 33.66
data_RbAl3In
_symmetry_space_group_name_H-M 'P m -3 m'
_symmetry_Int_Tables_number 221
_symmetry_space_group_name_Hall '-P 4 2 3'
_cell_length_a 5.521
_cell_length_b 5.521
_cell_length_c 5.521
_cell_angle_alpha 90.00
_cell_angle_beta 90.00
_cell_angle_gamma 90.00
loop_
_atom_site_label
_atom_site_fract_x
_atom_site_fract_y
_atom_site_fract_z
Rb1 0.000 0.000 0.000
Al1 0.000 0.500 0.500
In1 0.500 0.500 0.500

***

[6]
# Rb4AlIn4 | Alexandria | PBE-GGA | relaxed
# - uncorrected energy (eV/atom) = -2.00
# - formation energy from the elements (eV/atom) = 0.06
# - volume (Å³/atom) = 46.44
data_Rb4AlIn4
_symmetry_space_group_name_H-M 'I -4 2 m'
_symmetry_Int_Tables_number 121
_symmetry_space_group_name_Hall 'I -4 2'
_cell_length_a 6.409
_cell_length_b 6.409
_cell_length_c 20.347
_cell_angle_alpha 90.00
_cell_angle_beta 90.00
_cell_angle_gamma 90.00
loop_
_atom_site_label
_atom_site_fract_x
_atom_site_fract_y
_atom_site_fract_z
Rb1 0.235 0.235 0.348
Al1 0.000 0.000 0.500
In1 0.206 0.206 0.042

***

Which value of formation energy from the elements does entry 2 give? 0.41 eV/atom

***

The lowest formation energy from the elements belongs to which entry? Rb4AlIn4

***

Number 6 is which compound? Rb4AlIn4

***

What did the first record say?
# RbAlIn3 | Alexandria | PBE-GGA | relaxed
# - uncorrected energy (eV/atom) = -1.41
# - formation energy from the elements (eV/atom) = 1.18
# - volume (Å³/atom) = 49.51
data_RbAlIn3
_symmetry_space_group_name_H-M 'P m -3 m'
_symmetry_Int_Tables_number 221
_symmetry_space_group_name_Hall '-P 4 2 3'
_cell_length_a 6.279
_cell_length_b 6.279
_cell_length_c 6.279
_cell_angle_alpha 90.00
_cell_angle_beta 90.00
_cell_angle_gamma 90.00
loop_
_atom_site_label
_atom_site_fract_x
_atom_site_fract_y
_atom_site_fract_z
Rb1 0.000 0.000 0.000
Al1 0.500 0.500 0.500
In1 0.000 0.000 0.500